Record 1
## ScBe2Pd2 (PBE-GGA)

Data for crystalline ScBe2Pd2 at its relaxed geometry.

- Offset from the most stable computed form: 0.0 meV/atom
- Theoretical density: 6.84 g/cm³
- VASP energy: -5.38 eV/atom
- ΔE_f: -0.55 eV/atom

The structure in CIF format:
```
data_ScBe2Pd2
_symmetry_space_group_name_H-M 'P 4/m b m'
_symmetry_Int_Tables_number 127
_symmetry_space_group_name_Hall '-P 4 2ab'
_cell_length_a 6.895
_cell_length_b 6.895
_cell_length_c 2.816
_cell_angle_alpha 90.00
_cell_angle_beta 90.00
_cell_angle_gamma 90.00
loop_
_atom_site_label
_atom_site_type_symbol
_atom_site_fract_x
_atom_site_fract_y
_atom_site_fract_z
Sc1 Sc 0.000 0.000 0.000
Be1 Be 0.115 0.385 0.000
Pd1 Pd 0.176 0.676 0.500
```



Record 2
## GaCoGePt (PBE-GGA)

Data for crystalline GaCoGePt at its relaxed geometry.

- Offset from the most stable computed form: 51.9 meV/atom
- Theoretical density: 10.48 g/cm³
- VASP energy: -5.46 eV/atom
- ΔE_f: -0.26 eV/atom

The structure in CIF format:
```
data_GaCoGePt
_symmetry_space_group_name_H-M 'P 1'
_symmetry_Int_Tables_number 1
_symmetry_space_group_name_Hall 'P 1'
_cell_length_a 3.765
_cell_length_b 4.463
_cell_length_c 4.530
_cell_angle_alpha 76.03
_cell_angle_beta 65.66
_cell_angle_gamma 65.30
loop_
_atom_site_label
_atom_site_type_symbol
_atom_site_fract_x
_atom_site_fract_y
_atom_site_fract_z
Ga1 Ga 0.000 0.000 0.000
Co1 Co 0.671 0.061 0.594
Ge1 Ge 0.994 0.465 0.546
Pt1 Pt 0.622 0.604 0.148
```



Record 3
## RbPuInCl6 (PBE-GGA)

Data for crystalline RbPuInCl6 at its relaxed geometry.

- Theoretical density: 3.22 g/cm³
- VASP energy: -4.83 eV/atom
- ΔE_f (raw): -1.59 eV per atom

The structure in CIF format:
```
data_RbPuInCl6
_symmetry_space_group_name_H-M 'P 42 n m'
_symmetry_Int_Tables_number 102
_symmetry_space_group_name_Hall 'P 4n -2n'
_cell_length_a 7.061
_cell_length_b 7.061
_cell_length_c 13.607
_cell_angle_alpha 90.00
_cell_angle_beta 90.00
_cell_angle_gamma 90.00
loop_
_atom_site_label
_atom_site_type_symbol
_atom_site_fract_x
_atom_site_fract_y
_atom_site_fract_z
Rb1 Rb 0.000 0.000 0.000
Pu1 Pu 0.000 0.000 0.663
In1 In 0.000 0.000 0.332
Cl1 Cl 0.173 0.173 0.517
Cl2 Cl 0.187 0.187 0.798
Cl3 Cl 0.239 0.239 0.170
```



Record 4
## HfSiSN2 (PBE-GGA)

Data for crystalline HfSiSN2 at its relaxed geometry.

- Offset from the most stable computed form: 527.9 meV/atom
- Theoretical density: 5.11 g/cm³
- VASP energy: -6.82 eV/atom
- ΔE_f (raw): 0.41 eV per atom

The structure in CIF format:
```
data_HfSiSN2
_symmetry_space_group_name_H-M 'P 4/m m m'
_symmetry_Int_Tables_number 123
_symmetry_space_group_name_Hall '-P 4 2'
_cell_length_a 4.064
_cell_length_b 4.064
_cell_length_c 5.249
_cell_angle_alpha 90.00
_cell_angle_beta 90.00
_cell_angle_gamma 90.00
loop_
_atom_site_label
_atom_site_type_symbol
_atom_site_fract_x
_atom_site_fract_y
_atom_site_fract_z
Hf1 Hf 0.000 0.000 0.000
Si1 Si 0.500 0.500 0.500
S1 S 0.000 0.000 0.500
N1 N 0.000 0.500 0.000
```



Record 5
## Ti2Pd5Rh (PBE-GGA)

Data for crystalline Ti2Pd5Rh at its relaxed geometry.

- Theoretical density: 10.13 g/cm³
- VASP energy: -6.78 eV/atom
- ΔE_f: -0.64 eV/atom

The structure in CIF format:
```
data_Ti2Pd5Rh
_symmetry_space_group_name_H-M 'P b a m'
_symmetry_Int_Tables_number 55
_symmetry_space_group_name_Hall '-P 2 2ab'
_cell_length_a 5.547
_cell_length_b 11.097
_cell_length_c 3.893
_cell_angle_alpha 90.00
_cell_angle_beta 90.00
_cell_angle_gamma 90.00
loop_
_atom_site_label
_atom_site_type_symbol
_atom_site_fract_x
_atom_site_fract_y
_atom_site_fract_z
Ti1 Ti 0.236 0.120 0.000
Pd1 Pd 0.000 0.500 0.500
Pd2 Pd 0.008 0.750 0.500
Pd3 Pd 0.247 0.375 0.000
Rh1 Rh 0.000 0.000 0.500
```



Record 6
## Sr2BiPdS (PBE-GGA)

Data for crystalline Sr2BiPdS at its relaxed geometry.

- Theoretical density: 4.98 g/cm³
- VASP energy: -3.90 eV/atom
- ΔE_f (raw): -0.58 eV per atom

The structure in CIF format:
```
data_Sr2BiPdS
_symmetry_space_group_name_H-M 'P 4/m m m'
_symmetry_Int_Tables_number 123
_symmetry_space_group_name_Hall '-P 4 2'
_cell_length_a 5.942
_cell_length_b 5.942
_cell_length_c 4.938
_cell_angle_alpha 90.00
_cell_angle_beta 90.00
_cell_angle_gamma 90.00
loop_
_atom_site_label
_atom_site_type_symbol
_atom_site_fract_x
_atom_site_fract_y
_atom_site_fract_z
Sr1 Sr 0.000 0.500 0.000
Bi1 Bi 0.000 0.000 0.500
Pd1 Pd 0.000 0.000 0.000
S1 S 0.500 0.500 0.500
```



Record 7
## Zr2Ga2Rh (PBE-GGA)

Data for crystalline Zr2Ga2Rh at its relaxed geometry.

- Offset from the most stable computed form: 23.5 meV/atom
- Theoretical density: 7.68 g/cm³
- VASP energy: -6.79 eV/atom
- ΔE_f: -0.69 eV/atom

The structure in CIF format:
```
data_Zr2Ga2Rh
_symmetry_space_group_name_H-M 'C 1 2/m 1'
_symmetry_Int_Tables_number 12
_symmetry_space_group_name_Hall '-C 2y'
_cell_length_a 10.422
_cell_length_b 3.947
_cell_length_c 9.919
_cell_angle_alpha 90.00
_cell_angle_beta 115.81
_cell_angle_gamma 90.00
loop_
_atom_site_label
_atom_site_type_symbol
_atom_site_fract_x
_atom_site_fract_y
_atom_site_fract_z
Zr1 Zr 0.003 0.000 0.176
Zr2 Zr 0.186 0.000 0.620
Ga1 Ga 0.039 0.500 0.392
Ga2 Ga 0.135 0.500 0.056
Rh1 Rh 0.209 0.500 0.837
```



Record 8
## CrOs2Au (PBE-GGA)

Data for crystalline CrOs2Au at its relaxed geometry.

- Offset from the most stable computed form: 69.2 meV/atom
- Theoretical density: 17.91 g/cm³
- VASP energy: -8.51 eV/atom
- ΔE_f: 0.33 eV/atom

The structure in CIF format:
```
data_CrOs2Au
_symmetry_space_group_name_H-M 'C 1 2/m 1'
_symmetry_Int_Tables_number 12
_symmetry_space_group_name_Hall '-C 2y'
_cell_length_a 9.141
_cell_length_b 2.744
_cell_length_c 4.756
_cell_angle_alpha 90.00
_cell_angle_beta 101.88
_cell_angle_gamma 90.00
loop_
_atom_site_label
_atom_site_type_symbol
_atom_site_fract_x
_atom_site_fract_y
_atom_site_fract_z
Cr1 Cr 0.000 0.000 0.000
Os1 Os 0.233 0.500 0.223
Au1 Au 0.000 0.500 0.500
```



Record 9
## KSmMgO3 (PBE-GGA)

Data for crystalline KSmMgO3 at its relaxed geometry.

- Theoretical density: 3.64 g/cm³
- VASP energy: -6.24 eV/atom
- ΔE_f (raw): -2.53 eV per atom

The structure in CIF format:
```
data_KSmMgO3
_symmetry_space_group_name_H-M 'P 1 21/m 1'
_symmetry_Int_Tables_number 11
_symmetry_space_group_name_Hall '-P 2yb'
_cell_length_a 7.405
_cell_length_b 3.626
_cell_length_c 9.360
_cell_angle_alpha 90.00
_cell_angle_beta 108.22
_cell_angle_gamma 90.00
loop_
_atom_site_label
_atom_site_type_symbol
_atom_site_fract_x
_atom_site_fract_y
_atom_site_fract_z
K1 K 0.181 0.250 0.156
Sm1 Sm 0.335 0.750 0.855
Mg1 Mg 0.053 0.250 0.614
O1 O 0.113 0.250 0.836
O2 O 0.150 0.750 0.587
O3 O 0.451 0.750 0.116
```



Record 10
## ZrScAl2 (PBE-GGA)

Data for crystalline ZrScAl2 at its relaxed geometry.

- Offset from the most stable computed form: 79.2 meV/atom
- Theoretical density: 4.09 g/cm³
- VASP energy: -5.95 eV/atom
- ΔE_f: -0.36 eV/atom

The structure in CIF format:
```
data_ZrScAl2
_symmetry_space_group_name_H-M 'F m -3 m'
_symmetry_Int_Tables_number 225
_symmetry_space_group_name_Hall '-F 4 2 3'
_cell_length_a 6.760
_cell_length_b 6.760
_cell_length_c 6.760
_cell_angle_alpha 90.00
_cell_angle_beta 90.00
_cell_angle_gamma 90.00
loop_
_atom_site_label
_atom_site_type_symbol
_atom_site_fract_x
_atom_site_fract_y
_atom_site_fract_z
Zr1 Zr 0.000 0.000 0.000
Sc1 Sc 0.000 0.000 0.500
Al1 Al 0.250 0.250 0.250
```



Record 11
## SrAg2RuCl8 (PBE-GGA)

Data for crystalline SrAg2RuCl8 at its relaxed geometry.

- Theoretical density: 3.32 g/cm³
- VASP energy: -3.57 eV/atom
- ΔE_f (raw): -0.95 eV per atom

The structure in CIF format:
```
data_SrAg2RuCl8
_symmetry_space_group_name_H-M 'P -1'
_symmetry_Int_Tables_number 2
_symmetry_space_group_name_Hall '-P 1'
_cell_length_a 6.484
_cell_length_b 6.974
_cell_length_c 8.203
_cell_angle_alpha 70.97
_cell_angle_beta 87.65
_cell_angle_gamma 78.91
loop_
_atom_site_label
_atom_site_type_symbol
_atom_site_fract_x
_atom_site_fract_y
_atom_site_fract_z
Sr1 Sr 0.000 0.000 0.000
Ag1 Ag 0.462 0.335 0.213
Ru1 Ru 0.000 0.000 0.500
Cl1 Cl 0.081 0.237 0.231
Cl2 Cl 0.133 0.192 0.647
Cl3 Cl 0.331 0.798 0.507
Cl4 Cl 0.409 0.737 0.070
```



Record 12
## MgAg5Sn (PBE-GGA)

Data for crystalline MgAg5Sn at its relaxed geometry.

- Offset from the most stable computed form: 0.0 meV/atom
- Theoretical density: 8.38 g/cm³
- VASP energy: -2.88 eV/atom
- ΔE_f: -0.04 eV/atom

The structure in CIF format:
```
data_MgAg5Sn
_symmetry_space_group_name_H-M 'C 1 2/c 1'
_symmetry_Int_Tables_number 15
_symmetry_space_group_name_Hall '-C 2yc'
_cell_length_a 7.260
_cell_length_b 8.052
_cell_length_c 9.914
_cell_angle_alpha 90.00
_cell_angle_beta 111.03
_cell_angle_gamma 90.00
loop_
_atom_site_label
_atom_site_type_symbol
_atom_site_fract_x
_atom_site_fract_y
_atom_site_fract_z
Mg1 Mg 0.000 0.249 0.250
Ag1 Ag 0.000 0.407 0.750
Ag2 Ag 0.116 0.067 0.660
Ag3 Ag 0.181 0.403 0.539
Sn1 Sn 0.250 0.250 0.000
```